10
Lattice="6.935 0.507 0.000 -2.799 6.234 0.000 0.000 0.000 9.307" Properties=species:S:1:pos:R:3 comment="Ac4Ge PBE optimized geometry" spacegroup="P2/c, No. 13" magmom_total_mub_per_cell=0.0 mass_density_g_cm3=7.84 total_energy_ev_per_atom=-4.37 e_above_lowest_polymorph_mev_per_atom=0.0 dos_ef_per_ev_cell=15.28 pbc="T T T"
Ac 1.710 0.290 8.382
Ac 0.310 3.407 0.925
Ac 4.053 3.251 3.309
Ac 2.427 6.450 0.925
Ac 3.826 3.333 8.382
Ac 2.653 6.368 5.998
Ac 0.084 3.490 5.998
Ac 1.483 0.373 3.309
Ge 1.369 4.929 3.500
Ge 2.768 1.812 5.807

***

16
Lattice="6.012 0.000 1.999 3.006 7.388 0.999 0.017 0.000 9.990" Properties=species:S:1:pos:R:3 comment="Ac3Ge5 PBE optimized geometry" spacegroup="Fdd2, No. 43" magmom_total_mub_per_cell=0.0 mass_density_g_cm3=7.82 total_energy_ev_per_atom=-5.11 dos_ef_per_ev_cell=8.21 pbc="T T T"
Ge 6.020 0.253 6.994
Ge 1.922 1.659 3.881
Ge 6.878 5.353 4.037
Ge 6.012 3.946 1.999
Ge 2.091 4.187 4.171
Ge 5.163 5.353 9.950
Ge 4.180 0.493 2.906
Ge 1.849 0.493 9.083
Ge 3.938 4.187 7.818
Ge 4.107 1.659 8.108
Ac 8.044 6.541 11.021
Ac 7.055 2.847 8.975
Ac 6.020 6.617 6.994
Ac 3.006 2.923 0.999
Ac 3.997 6.541 2.966
Ac 4.986 2.847 5.013

***

10
Lattice="-0.593 -4.142 0.451 0.022 -0.882 -8.070 9.239 -1.702 -3.441" Properties=species:S:1:pos:R:3 comment="Ac3GeH PBE optimized geometry" spacegroup="P1, No. 1" magmom_total_mub_per_cell=0.0 mass_density_g_cm3=7.87 total_energy_ev_per_atom=-4.38 e_above_lowest_polymorph_mev_per_atom=0.0 dos_ef_per_ev_cell=8.80 pbc="T T T"
Ac 3.193 -2.473 -4.247
Ac 3.571 -5.017 -7.497
Ac 6.432 -5.199 -5.338
Ac 0.534 -1.657 -0.248
Ac 6.105 -5.666 -10.061
Ac -0.337 -4.112 -4.320
Ge 1.716 -4.151 -1.945
Ge 6.527 -3.358 -7.941
H 7.171 -3.010 -3.899
H 2.803 -2.713 -6.981

***

4
Lattice="-1.340 0.566 5.096 -2.060 -4.089 2.668 2.843 -2.405 3.771" Properties=species:S:1:pos:R:3 comment="Ac2GeH PBE optimized geometry" spacegroup="Fm-3m, No. 225" magmom_total_mub_per_cell=0.0 mass_density_g_cm3=8.33 total_energy_ev_per_atom=-4.44 e_above_lowest_polymorph_mev_per_atom=25.7 dos_ef_per_ev_cell=1.75 pbc="T T T"
Ac -0.418 -4.446 8.651
Ac -0.139 -1.482 2.884
H 0.000 0.000 0.000
Ge -0.279 -2.964 5.767

***

20
Lattice="-5.628 -2.337 3.565 -3.791 -2.090 -7.354 4.802 -9.824 0.317" Properties=species:S:1:pos:R:3 comment="Ac6Ge3H PBE optimized geometry" spacegroup="P2_1/c, No. 14" magmom_total_mub_per_cell=1.0 mass_density_g_cm3=7.97 total_energy_ev_per_atom=-4.66 dos_ef_per_ev_cell=19.99 pbc="T T T"
Ge -2.999 -10.441 -4.184
Ge 2.401 -4.912 0.158
Ge -4.709 -2.213 -1.894
Ge -1.618 -3.809 0.711
Ge -1.613 -3.825 -4.238
Ge -3.004 -10.425 0.765
H 0.000 0.000 0.000
H -2.308 -7.125 -1.736
Ac -1.670 -1.613 -1.760
Ac -4.786 -3.221 -4.832
Ac -0.021 -5.281 -1.752
Ac -2.947 -12.637 -1.713
Ac -1.621 -7.439 1.077
Ac 0.169 -11.029 1.359
Ac -4.146 -5.054 -0.985
Ac -0.471 -9.196 -2.488
Ac -4.596 -8.969 -1.721
Ac -2.996 -6.812 -4.550
Ac -7.280 -6.332 -3.957
Ac 2.663 -7.918 0.485

***

12
Lattice="-2.063 5.485 -2.527 -1.246 -4.130 -7.948 -4.896 -3.239 5.026" Properties=species:S:1:pos:R:3 comment="Ac3Ge2H PBE optimized geometry" spacegroup="C2/c, No. 15" magmom_total_mub_per_cell=0.0 mass_density_g_cm3=7.14 total_energy_ev_per_atom=-4.68 dos_ef_per_ev_cell=5.36 pbc="T T T"
Ge -5.115 -4.115 -4.774
Ge -3.718 0.179 -4.654
Ge -3.091 2.231 -0.674
Ge -4.487 -2.062 -0.794
Ac -1.281 1.546 -3.175
Ac -2.096 -0.516 0.599
Ac -5.485 0.692 -2.071
Ac -6.109 -1.368 -6.047
Ac -2.028 -0.190 -7.300
Ac -2.721 -2.576 -3.377
H -0.410 -0.770 -2.108
H -2.899 2.126 -8.367